# CuRuCl2

A relaxed structure of CuRuCl2 (PBE, the Alexandria database).

Lattice parameters (Å, degrees): 4.5487 4.5487 4.5487 60.00 60.00 60.00
Atoms (fractional coordinates):
Ru  0.5000  0.5000  0.5000
Cu  0.0000  0.0000  0.0000
Cl  0.2500  0.2500  0.2500
Cl  0.7500  0.7500  0.7500

Calculated values
ΔE_f (raw) in meV per atom: 548
Excess energy over the best structure of this formula in the dataset in eV per formula unit: 2.07
Space-group type: Fm-3m (225)
Total moment in μB per formula unit: 3.0
N(E_F) in states/eV per atom: 0.12